[1]
Compound: BaAsBr2
Source: Alexandria
Functional: PBE
Structure: relaxed

It has space group F-43m (No. 216), with a = 8.072 Å, b = 8.072 Å, c = 8.072 Å, α = 90.00°, β = 90.00° and γ = 90.00°. The inequivalent atoms are Ba at (0.000, 0.000, 0.000), As at (0.250, 0.250, 0.750), Br at (0.000, 0.000, 0.500) and Br at (0.250, 0.250, 0.250).

The calculation puts the density of states at the Fermi level at 0.00 states/eV per atom. For the polymorph energy (0 for the lowest one), the calculation gives 0.3270 eV per atom. The size of the total moment comes out at 12.0 μB/cell. Its formation energy without anion corrections is -0.70 eV per atom. As for the calculated total energy: -3.184 eV per atom.

***

[2]
Compound: BaAsBr2
Source: Alexandria
Functional: PBE
Structure: relaxed

It has space group I-42d (No. 122), with a = 5.295 Å, b = 5.295 Å, c = 20.025 Å, α = 90.00°, β = 90.00° and γ = 90.00°. The inequivalent atoms are Ba at (0.000, 0.000, 0.000), As at (0.000, 0.000, 0.500) and Br at (0.208, 0.250, 0.625).

The calculation puts the density of states at the Fermi level at 0.79 states/eV per atom. For the polymorph energy (0 for the lowest one), the calculation gives 0.1930 eV per atom. The size of the total moment comes out at 0.0 μB/cell. Its formation energy without anion corrections is -0.84 eV per atom. As for the calculated total energy: -3.318 eV per atom.

***

[3]
Compound: BaAsBr2
Source: Alexandria
Functional: PBE
Structure: relaxed

It has space group P2/m (No. 10), with a = 5.288 Å, b = 4.922 Å, c = 5.309 Å, α = 90.00°, β = 93.21° and γ = 90.00°. The inequivalent atoms are Ba at (0.000, 0.000, 0.000), As at (0.500, 0.000, 0.500) and Br at (0.282, 0.500, 0.719).

The calculation puts the density of states at the Fermi level at 0.28 states/eV per atom. For the polymorph energy (0 for the lowest one), the calculation gives 0.1639 eV per atom. The size of the total moment comes out at 0.0 μB/cell. Its formation energy without anion corrections is -0.87 eV per atom. As for the calculated total energy: -3.347 eV per atom.

***

[4]
Compound: BaAsBr2
Source: Alexandria
Functional: PBE
Structure: relaxed

It has space group C2/m (No. 12), with a = 10.460 Å, b = 5.346 Å, c = 4.823 Å, α = 90.00°, β = 104.10° and γ = 90.00°. The inequivalent atoms are Ba at (0.000, 0.000, 0.000), As at (0.000, 0.500, 0.500) and Br at (0.187, 0.500, 0.213).

The calculation puts the density of states at the Fermi level at 0.29 states/eV per atom. For the polymorph energy (0 for the lowest one), the calculation gives 0.0000 eV per atom. The size of the total moment comes out at 0.0 μB/cell. Its formation energy without anion corrections is -1.03 eV per atom. As for the calculated total energy: -3.511 eV per atom.

***

[5]
Compound: BaAs2Br
Source: Alexandria
Functional: PBE
Structure: relaxed

It has space group Cmmm (No. 65), with a = 5.934 Å, b = 7.438 Å, c = 6.133 Å, α = 90.00°, β = 90.00° and γ = 90.00°. The inequivalent atoms are Ba at (0.000, 0.000, 0.000), As at (0.000, 0.500, 0.310) and Br at (0.000, 0.000, 0.500).

The calculation puts the density of states at the Fermi level at 0.79 states/eV per atom. For the polymorph energy (0 for the lowest one), the calculation gives 0.5792 eV per atom. The size of the total moment comes out at 0.0 μB/cell. Its formation energy without anion corrections is -0.34 eV per atom. As for the calculated total energy: -3.563 eV per atom.

***

[6]
Compound: BaAs2Br
Source: Alexandria
Functional: PBE
Structure: relaxed

It has space group Fm-3m (No. 225), with a = 7.723 Å, b = 7.723 Å, c = 7.723 Å, α = 90.00°, β = 90.00° and γ = 90.00°. The inequivalent atoms are Ba at (0.000, 0.000, 0.000), As at (0.250, 0.250, 0.250) and Br at (0.000, 0.000, 0.500).

The calculation puts the density of states at the Fermi level at 1.42 states/eV per atom. For the polymorph energy (0 for the lowest one), the calculation gives 0.9546 eV per atom. The size of the total moment comes out at 0.0 μB/cell. Its formation energy without anion corrections is 0.04 eV per atom. As for the calculated total energy: -3.187 eV per atom.

***

[7]
Compound: BaAsBr2
Source: Alexandria
Functional: PBE
Structure: relaxed

It has space group R-3m (No. 166, hexagonal axes), with a = 3.8727 Å, b = 3.8727 Å, c = 32.0312 Å, α = 90.00°, β = 90.00° and γ = 120.00°. The inequivalent atoms are Ba at (0.0000, 0.0000, 0.0000), As at (0.0000, 0.0000, 0.5000) and Br at (0.0000, 0.0000, 0.0967).

The calculation puts the density of states at the Fermi level at 1.04 states/eV per atom. For the polymorph energy (0 for the lowest one), the calculation gives 1.0274 eV per atom. The size of the total moment comes out at 1.7 μB/cell. Its formation energy without anion corrections is 0.00 eV per atom. As for the calculated total energy: -2.483 eV per atom.

***

[8]
Compound: BaAs2Br
Source: Alexandria
Functional: PBE
Structure: relaxed

It has space group Pmmm (No. 47), with a = 4.822 Å, b = 4.833 Å, c = 6.320 Å, α = 90.00°, β = 90.00° and γ = 90.00°. The inequivalent atoms are Ba at (0.000, 0.000, 0.000), As at (0.500, 0.500, 0.179) and Br at (0.000, 0.000, 0.500).

The calculation puts the density of states at the Fermi level at 0.94 states/eV per atom. For the polymorph energy (0 for the lowest one), the calculation gives 0.2484 eV per atom. The size of the total moment comes out at 0.0 μB/cell. Its formation energy without anion corrections is -0.67 eV per atom. As for the calculated total energy: -3.894 eV per atom.

***

[9]
Compound: BaAsBr4
Source: Alexandria
Functional: PBE
Structure: relaxed

It has space group F-43m (No. 216), with a = 9.269 Å, b = 9.269 Å, c = 9.269 Å, α = 90.00°, β = 90.00° and γ = 90.00°. The inequivalent atoms are Ba at (0.000, 0.000, 0.000), As at (0.250, 0.250, 0.250) and Br at (0.125, 0.125, 0.625).

The calculation puts the density of states at the Fermi level at 0.73 states/eV per atom. The size of the total moment comes out at 19.1 μB/cell. Its formation energy without anion corrections is -0.21 eV per atom. As for the calculated total energy: -2.425 eV per atom.

***

[10]
Compound: BaAs4Br
Source: Alexandria
Functional: PBE
Structure: relaxed

It has space group F-43m (No. 216), with a = 8.692 Å, b = 8.692 Å, c = 8.692 Å, α = 90.00°, β = 90.00° and γ = 90.00°. The inequivalent atoms are Ba at (0.000, 0.000, 0.000), As at (0.104, 0.104, 0.396) and Br at (0.250, 0.250, 0.750).

The calculation puts the density of states at the Fermi level at 0.88 states/eV per atom. The size of the total moment comes out at 0.0 μB/cell. Its formation energy without anion corrections is -0.45 eV per atom. As for the calculated total energy: -4.151 eV per atom.

***

[11]
Compound: BaAs2Br
Source: Alexandria
Functional: PBE
Structure: relaxed

It has space group Pm (No. 6), with a = 4.428 Å, b = 3.984 Å, c = 7.877 Å, α = 90.00°, β = 99.84° and γ = 90.00°. The inequivalent atoms are Ba at (0.000, 0.000, 0.000), As at (0.599, 0.000, 0.357), As at (0.931, 0.500, 0.339) and Br at (0.449, 0.500, 0.824).

The calculation puts the density of states at the Fermi level at 0.42 states/eV per atom. For the polymorph energy (0 for the lowest one), the calculation gives 0.0144 eV per atom. The size of the total moment comes out at 0.0 μB/cell. Its formation energy without anion corrections is -0.90 eV per atom. As for the calculated total energy: -4.128 eV per atom.

***

[12]
Compound: BaAsBr
Source: Alexandria
Functional: PBE
Structure: relaxed

It has space group Cm (No. 8), with a = 11.578 Å, b = 4.481 Å, c = 8.927 Å, α = 90.00°, β = 103.57° and γ = 90.00°. The inequivalent atoms are Ba at (0.000, 0.000, 0.000), Ba at (0.211, 0.000, 0.562), As at (0.189, 0.500, 0.871), As at (0.281, 0.000, 0.951), Br at (0.093, 0.500, 0.297) and Br at (0.425, 0.500, 0.600).

The calculation puts the density of states at the Fermi level at 0.07 states/eV per atom. For the polymorph energy (0 for the lowest one), the calculation gives 0.0551 eV per atom. The size of the total moment comes out at 0.0 μB/cell. Its formation energy without anion corrections is -1.42 eV per atom. As for the calculated total energy: -4.166 eV per atom.